{"formula": "Cr2TcPd2", "functional": "PBE-GGA", "state": "optimized geometry", "lattice_angstrom": [[5.996, 0.000, 0.000], [0.000, 5.996, 0.000], [0.000, 0.000, 3.992]], "species": ["Tc", "Tc", "Cr", "Cr", "Cr", "Cr", "Pd", "Pd", "Pd", "Pd"], "fractional_positions": [[0.500, 0.500, 0.000], [0.000, 0.000, 0.000], [0.629, 0.129, 0.000], [0.871, 0.629, 0.000], [0.371, 0.871, 0.000], [0.129, 0.371, 0.000], [0.669, 0.831, 0.500], [0.169, 0.669, 0.500], [0.331, 0.169, 0.500], [0.831, 0.331, 0.500]], "sg": "No. 127", "dos_ef_per_ev_atom": 0.760, "delta_e_f_ev_per_atom": 0.294, "e_tot_ev_per_cell": -77.059}